Sn2WN: optimized geometry, PBE-GGA.

Cell: 6.6271 6.6271 6.4706 Å, 90.00 90.00 90.00°
Closest atoms and distances in Å follow each position.
Space group I-42d (No. 122)
Inequivalent atoms, fractional coordinates:
Sn1 0.1805 0.2500 0.1250 (multiplicity 8)  2 N 2.20
W1 0.0000 0.0000 0.5000 (multiplicity 4)  4 Sn 2.81
N1 0.0000 0.0000 0.0000 (multiplicity 4)  4 Sn 2.20

Summary:
Fermi-level density of states ... 2.83 states/eV/f.u.
E_tot ... -6.32 eV/atom
V ... 17.8 Å³ per atom
Formation energy (no corrections) ... 1005 meV per atom
Magnetic moment ... 0.0 Bohr magnetons per cell